No. 1
Here is crystalline Sr2SnAu7 at its relaxed geometry from Alexandria. Energies are from PBE.

Cell lengths 4.257, 4.257, 13.098 Å; angles 90.00, 90.00, 90.00 degrees
Atoms (fractional coordinates):
Au (0.500, 0.000, 0.150)
Au (0.000, 0.000, 0.000)
Au (0.000, 0.000, 0.500)
Au (0.500, 0.500, 0.500)
Au (0.000, 0.500, 0.644)
Au (0.500, 0.000, 0.356)
Au (0.000, 0.500, 0.850)
Sn (0.500, 0.500, 0.000)
Sr (0.500, 0.000, 0.737)
Sr (0.000, 0.500, 0.263)

Values from the calculation:
density of states at the Fermi level	2.83	states/eV/f.u.
ΔE_f	-470	kJ/mol of formula units
spin magnetization	0.00	μB/cell

***

No. 2
Here is crystalline Sr2Sn2Au7 at its relaxed geometry from Alexandria. Energies are from PBE.

Cell lengths 4.617, 8.557, 8.557 Å; angles 118.31, 96.26, 96.25 degrees
Atoms (fractional coordinates):
Au (0.030, 0.839, 0.490)
Au (0.970, 0.161, 0.510)
Au (0.030, 0.490, 0.839)
Au (0.000, 0.000, 0.000)
Au (0.593, 0.185, 0.185)
Au (0.407, 0.815, 0.815)
Au (0.970, 0.510, 0.161)
Sr (0.500, 0.806, 0.194)
Sr (0.500, 0.194, 0.806)
Sn (0.187, 0.366, 0.366)
Sn (0.813, 0.634, 0.634)

Values from the calculation:
density of states at the Fermi level	3.36	states/eV/f.u.
ΔE_f	-392	kJ/mol of formula units
spin magnetization	0.00	μB/cell

***

No. 3
Here is crystalline Sr2Sn2Au at its relaxed geometry from Alexandria. Energies are from PBE.

Cell lengths 6.550, 6.550, 6.241 Å; angles 58.35, 58.35, 90.00 degrees
Atoms (fractional coordinates):
Sn (0.329, 0.329, 0.342)
Sn (0.671, 0.671, 0.658)
Sr (0.250, 0.750, 0.500)
Sr (0.750, 0.250, 0.500)
Au (0.000, 0.000, 0.000)

Values from the calculation:
density of states at the Fermi level	4.03	states/eV/f.u.
energy relative to the lowest polymorph listed for this composition	0.423	eV per atom
ΔE_f	-137	kJ/mol of formula units
spin magnetization	0.00	μB/cell

***

Question: The lowest ΔE_f belongs to which entry?
Answer: Sr2SnAu7